Entry 1:
# BaScPb2 (PBE, relaxed)
# Calculated formation energy in eV per atom: -0.290
# Magnetization in Bohr magnetons per cell: 0.0
data_BaScPb2
_chemical_formula_sum 'Ba2 Sc2 Pb4'
_cell_length_a 4.170
_cell_length_b 4.666
_cell_length_c 14.495
_cell_angle_alpha 90.00
_cell_angle_beta 90.00
_cell_angle_gamma 90.00
_space_group_name_H-M_alt 'I m m 2'
_space_group_IT_number 44
loop_
_space_group_symop_operation_xyz
'x,y,z'
'-x,-y,z'
'-x,y,z'
'x,-y,z'
'x+1/2,y+1/2,z+1/2'
'-x+1/2,-y+1/2,z+1/2'
'-x+1/2,y+1/2,z+1/2'
'x+1/2,-y+1/2,z+1/2'
loop_
_atom_site_label
_atom_site_type_symbol
_atom_site_fract_x
_atom_site_fract_y
_atom_site_fract_z
Ba1 Ba 0.000 0.000 0.000
Sc1 Sc 0.000 0.500 0.754
Pb1 Pb 0.000 0.000 0.616
Pb2 Pb 0.000 0.500 0.286

---

Entry 2:
# RbNi3Au (PBE, relaxed)
# Calculated formation energy in eV per atom: 0.963
# Magnetization in Bohr magnetons per cell: 1.5
# Excess energy over the best structure of this formula in the dataset in meV/atom: 0
data_RbNi3Au
_chemical_formula_sum 'Rb1 Ni3 Au1'
_cell_length_a 4.882
_cell_length_b 4.882
_cell_length_c 4.882
_cell_angle_alpha 90.00
_cell_angle_beta 90.00
_cell_angle_gamma 90.00
_space_group_name_H-M_alt 'P m -3 m'
_space_group_IT_number 221
_space_group_name_Hall '-P 4 2 3'
loop_
_atom_site_label
_atom_site_type_symbol
_atom_site_fract_x
_atom_site_fract_y
_atom_site_fract_z
Rb1 Rb 0.000 0.000 0.000
Ni1 Ni 0.000 0.500 0.500
Au1 Au 0.500 0.500 0.500

---

Entry 3:
# KZn2PbCl8 (PBE, relaxed)
# Magnetization in Bohr magnetons per cell: 0.0
# Formation energy without anion corrections in kJ/mol of formula units: -1274.3
data_KZn2PbCl8
_chemical_formula_sum 'K2 Zn4 Pb2 Cl16'
_cell_length_a 9.564
_cell_length_b 9.564
_cell_length_c 8.018
_cell_angle_alpha 90.00
_cell_angle_beta 90.00
_cell_angle_gamma 90.00
_space_group_name_H-M_alt 'I -4 m 2'
_space_group_IT_number 119
_space_group_name_Hall 'I -4 -2'
loop_
_atom_site_label
_atom_site_type_symbol
_atom_site_fract_x
_atom_site_fract_y
_atom_site_fract_z
K1 K 0.000 0.000 0.000
Zn1 Zn 0.000 0.000 0.500
Zn2 Zn 0.000 0.500 0.250
Pb1 Pb 0.000 0.500 0.750
Cl1 Cl 0.000 0.191 0.671
Cl2 Cl 0.000 0.324 0.059